LaTmCu2: optimized geometry, PBE.

Cell lengths 5.017, 5.017, 5.017 Å; angles 60.00, 60.00, 60.00 degrees
Fractional positions:
1 La 0.000 0.000 0.000
2 Tm 0.500 0.500 0.500
3 Cu 0.250 0.250 0.250
4 Cu 0.750 0.750 0.750

Computed properties:
DOS(E_F): 1.100 states/eV/atom
Excess energy over the best structure of this formula in the dataset: 3.49 kJ/mol of atoms


LaTm4Cu: optimized geometry, PBE.

Cell lengths 3.515, 3.515, 13.545 Å; angles 90.00, 90.00, 90.00 degrees
Fractional positions:
1 La 0.000 0.000 0.000
2 Tm 0.000 0.000 0.378
3 Tm 0.000 0.000 0.622
4 Tm 0.500 0.500 0.192
5 Tm 0.500 0.500 0.808
6 Cu 0.500 0.500 0.500

Computed properties:
VASP energy: -4.534 eV/atom
DOS(E_F): 1.485 states/eV/atom


LaTmCu4: optimized geometry, PBE.

Cell lengths 5.324, 5.324, 5.324 Å; angles 60.00, 60.00, 60.00 degrees
Fractional positions:
1 La 0.000 0.000 0.000
2 Tm 0.250 0.250 0.250
3 Cu 0.130 0.623 0.623
4 Cu 0.623 0.130 0.623
5 Cu 0.623 0.623 0.130
6 Cu 0.623 0.623 0.623

Computed properties:
DOS(E_F): 0.740 states/eV/atom
Excess energy over the best structure of this formula in the dataset: 10.91 kJ/mol of atoms


LaTmCu10: optimized geometry, PBE.

Cell lengths 4.116, 5.102, 8.768 Å; angles 90.00, 90.00, 90.00 degrees
Fractional positions:
1 La 0.000 0.000 0.000
2 Tm 0.000 0.500 0.500
3 Cu 0.000 0.000 0.341
4 Cu 0.000 0.000 0.659
5 Cu 0.000 0.500 0.175
6 Cu 0.000 0.500 0.825
7 Cu 0.500 0.000 0.500
8 Cu 0.500 0.255 0.258
9 Cu 0.500 0.255 0.742
10 Cu 0.500 0.500 0.000
11 Cu 0.500 0.745 0.258
12 Cu 0.500 0.745 0.742

Computed properties:
VASP energy: -4.374 eV/atom
DOS(E_F): 0.541 states/eV/atom


LaTmCu4: optimized geometry, PBE.

Cell lengths 5.553, 5.553, 5.553 Å; angles 134.14, 101.49, 95.99 degrees
Fractional positions:
1 La 0.000 0.000 0.000
2 Tm 0.423 0.923 0.500
3 Cu 0.425 0.619 0.806
4 Cu 0.583 0.290 0.293
5 Cu 0.814 0.619 0.194
6 Cu 0.998 0.290 0.707

Computed properties:
DOS(E_F): 0.622 states/eV/atom
Excess energy over the best structure of this formula in the dataset: 0.00 kJ/mol of atoms


LaTmCu: optimized geometry, PBE.

Cell lengths 6.755, 6.755, 6.755 Å; angles 149.58, 149.58, 43.55 degrees
Fractional positions:
1 La 0.000 0.000 0.000
2 Tm 0.277 0.277 0.000
3 Cu 0.664 0.664 0.000

Computed properties:
DOS(E_F): 1.205 states/eV/atom
Excess energy over the best structure of this formula in the dataset: 0.00 kJ/mol of atoms


La4TmCu5: optimized geometry, PBE.

Cell lengths 3.583, 3.583, 18.273 Å; angles 90.00, 90.00, 90.00 degrees
Fractional positions:
1 La 0.000 0.000 0.102
2 La 0.000 0.000 0.308
3 La 0.000 0.000 0.692
4 La 0.000 0.000 0.898
5 Tm 0.000 0.000 0.500
6 Cu 0.500 0.500 0.000
7 Cu 0.500 0.500 0.204
8 Cu 0.500 0.500 0.417
9 Cu 0.500 0.500 0.583
10 Cu 0.500 0.500 0.796

Computed properties:
VASP energy: -4.627 eV/atom
DOS(E_F): 0.805 states/eV/atom


La2TmCu6: optimized geometry, PBE.

Cell lengths 7.439, 7.439, 3.727 Å; angles 90.00, 90.00, 120.00 degrees
Fractional positions:
1 La 0.333 0.667 0.000
2 La 0.667 0.333 0.000
3 Tm 0.000 0.000 0.000
4 Cu 0.000 0.328 0.500
5 Cu 0.000 0.672 0.500
6 Cu 0.328 0.000 0.500
7 Cu 0.328 0.328 0.500
8 Cu 0.672 0.000 0.500
9 Cu 0.672 0.672 0.500

Computed properties:
VASP energy: -4.544 eV/atom
DOS(E_F): 0.686 states/eV/atom